Below is a relaxed Cs2PH5 crystal, with properties calculated at the PBE level.

Cell: 6.031 6.031 6.031 Å, 118.89 118.89 91.94°
Fractional coordinates of all 8 atoms:
Cs (0.000, 0.500, 0.500)
Cs (0.500, 0.000, 0.500)
P (0.221, 0.221, 0.000)
H (0.049, 0.049, 0.614)
H (0.049, 0.434, 0.000)
H (0.393, 0.393, 0.000)
H (0.434, 0.049, 0.000)
H (0.434, 0.434, 0.386)

Summary:
V (Å³ per cell): 158
E (eV per atom): -3.036
Theoretical density (g/cm³): 3.2

Below is a relaxed RbHgS2 crystal, with properties calculated at the PBE level.

Cell: 8.104 8.104 8.104 Å, 38.62 38.62 38.62°
Fractional coordinates of all 4 atoms:
Rb (0.000, 0.000, 0.000)
Hg (0.500, 0.500, 0.500)
S (0.398, 0.398, 0.398)
S (0.602, 0.602, 0.602)

Summary:
V (Å³ per cell): 186
Theoretical density (g/cm³): 3.1
Formation energy from raw total energies (eV per atom): -0.29

Below is a relaxed CaMgGe crystal, with properties calculated at the PBE level.

Cell: 8.134 8.134 9.254 Å, 90.52 90.52 32.97°
Fractional coordinates of all 12 atoms:
Ca (0.053, 0.053, 0.337)
Ca (0.389, 0.389, 0.114)
Ca (0.611, 0.611, 0.886)
Ca (0.947, 0.947, 0.663)
Mg (0.263, 0.263, 0.837)
Mg (0.266, 0.266, 0.398)
Mg (0.734, 0.734, 0.602)
Mg (0.737, 0.737, 0.163)
Ge (0.139, 0.139, 0.624)
Ge (0.157, 0.157, 0.087)
Ge (0.843, 0.843, 0.913)
Ge (0.861, 0.861, 0.376)

Summary:
V (Å³ per cell): 333
DFT formation energy (meV per atom): -309
Theoretical density (g/cm³): 2.7

Below is a relaxed AcHoTe crystal, with properties calculated at the PBE level.

Cell: 5.339 5.339 4.204 Å, 90.00 90.00 120.00°
Fractional coordinates of all 3 atoms:
Ac (0.000, 0.000, 0.000)
Ho (0.333, 0.667, 0.500)
Te (0.667, 0.333, 0.500)

Summary:
V (Å³ per cell): 104
ΔE to the lowest computed polymorph (meV per atom): 194
Theoretical density (g/cm³): 8.3
Formation energy from raw total energies (eV per atom): -0.57

Below is a relaxed Sm5BCl5 crystal, with properties calculated at the PBE level.

Cell: 6.755 6.755 8.233 Å, 107.04 107.04 48.68°
Fractional coordinates of all 11 atoms:
Sm (0.000, 0.000, 0.000)
Sm (0.336, 0.336, 0.135)
Sm (0.351, 0.351, 0.707)
Sm (0.649, 0.649, 0.293)
Sm (0.664, 0.664, 0.865)
B (0.500, 0.500, 0.000)
Cl (0.153, 0.153, 0.800)
Cl (0.166, 0.166, 0.350)
Cl (0.500, 0.500, 0.500)
Cl (0.834, 0.834, 0.650)
Cl (0.847, 0.847, 0.200)

Summary:
V (Å³ per cell): 267
Theoretical density (g/cm³): 5.8
Formation energy from raw total energies (eV per atom): -1.41

Below is a relaxed TaVZn2 crystal, with properties calculated at the PBE level.

Cell: 5.617 5.617 5.617 Å, 102.02 102.02 125.69°
Fractional coordinates of all 8 atoms:
Ta (0.000, 0.000, 0.000)
Ta (0.750, 0.250, 0.500)
V (0.250, 0.750, 0.500)
V (0.500, 0.500, 0.000)
Zn (0.140, 0.125, 0.515)
Zn (0.375, 0.860, 0.985)
Zn (0.610, 0.625, 0.485)
Zn (0.875, 0.390, 0.015)

Summary:
V (Å³ per cell): 128
DFT formation energy (meV per atom): 480
ΔE to the lowest computed polymorph (meV per atom): 435
Theoretical density (g/cm³): 9.4

Below is a relaxed Sr2LiCl crystal, with properties calculated at the PBE level.

Cell: 9.277 9.277 9.277 Å, 155.65 153.82 36.06°
Fractional coordinates of all 4 atoms:
Sr (0.000, 0.000, 0.000)
Sr (0.741, 0.241, 0.500)
Li (0.392, 0.392, 0.000)
Cl (0.155, 0.655, 0.500)

Summary:
V (Å³ per cell): 145
ΔE to the lowest computed polymorph (meV per atom): 108
Theoretical density (g/cm³): 2.5
Formation energy from raw total energies (eV per atom): -0.68

Below is a relaxed Pm2U3S8 crystal, with properties calculated at the PBE level.

Cell: 8.112 8.112 6.643 Å, 106.80 106.80 58.62°
Fractional coordinates of all 13 atoms:
Pm (0.237, 0.237, 0.163)
Pm (0.763, 0.763, 0.837)
U (0.243, 0.757, 0.500)
U (0.500, 0.500, 0.000)
U (0.757, 0.243, 0.500)
S (0.114, 0.114, 0.418)
S (0.145, 0.609, 0.086)
S (0.385, 0.385, 0.577)
S (0.391, 0.855, 0.914)
S (0.609, 0.145, 0.086)
S (0.615, 0.615, 0.423)
S (0.855, 0.391, 0.914)
S (0.886, 0.886, 0.582)

Summary:
V (Å³ per cell): 352
Theoretical density (g/cm³): 5.9
Formation energy from raw total energies (eV per atom): -1.59

Below is a relaxed AcYPbAu crystal, with properties calculated at the PBE level.

Cell: 5.520 5.520 5.520 Å, 60.00 60.00 60.00°
Fractional coordinates of all 4 atoms:
Ac (0.000, 0.000, 0.000)
Y (0.500, 0.500, 0.500)
Pb (0.250, 0.250, 0.250)
Au (0.750, 0.750, 0.750)

Summary:
V (Å³ per cell): 119
DFT formation energy (meV per atom): -569
Theoretical density (g/cm³): 10.1

Below is a relaxed BaMn crystal, with properties calculated at the PBE level.

Cell: 5.526 5.526 5.526 Å, 43.50 43.50 43.50°
Fractional coordinates of all 2 atoms:
Ba (0.000, 0.000, 0.000)
Mn (0.500, 0.500, 0.500)

Summary:
V (Å³ per cell): 73
DFT formation energy (meV per atom): 889
Theoretical density (g/cm³): 4.4

Below is a relaxed Sm3Dy2Y5 crystal, with properties calculated at the PBE level.

Cell: 9.672 9.672 9.393 Å, 108.63 108.63 112.23°
Fractional coordinates of all 20 atoms:
Sm (0.020, 0.272, 0.048)
Sm (0.228, 0.772, 0.750)
Sm (0.272, 0.020, 0.548)
Sm (0.728, 0.980, 0.452)
Sm (0.772, 0.228, 0.250)
Sm (0.980, 0.728, 0.952)
Dy (0.227, 0.472, 0.454)
Dy (0.472, 0.227, 0.954)
Dy (0.528, 0.773, 0.046)
Dy (0.773, 0.528, 0.546)
Y (0.024, 0.976, 0.750)
Y (0.135, 0.378, 0.762)
Y (0.274, 0.726, 0.250)
Y (0.378, 0.135, 0.262)
Y (0.474, 0.526, 0.250)
Y (0.526, 0.474, 0.750)
Y (0.622, 0.865, 0.738)
Y (0.726, 0.274, 0.750)
Y (0.865, 0.622, 0.238)
Y (0.976, 0.024, 0.250)

Summary:
V (Å³ per cell): 666
DFT formation energy (meV per atom): 188
ΔE to the lowest computed polymorph (meV per atom): 0
Theoretical density (g/cm³): 6.1

Below is a relaxed PIrO crystal, with properties calculated at the PBE level.

Cell: 2.657 2.722 5.321 Å, 90.00 90.00 90.00°
Fractional coordinates of all 3 atoms:
P (0.000, 0.000, 0.000)
Ir (0.500, 0.000, 0.651)
O (0.500, 0.000, 0.225)

Summary:
V (Å³ per cell): 38
ΔE to the lowest computed polymorph (meV per atom): 804
Theoretical density (g/cm³): 10.3
Formation energy from raw total energies (eV per atom): -0.22